Material: KZnCdAg2
Method: DFT, PBE-GGA
State: optimized geometry

The structure in extended XYZ format:
```
5
Lattice="5.145 0.000 0.000 0.000 5.145 0.000 0.000 0.000 5.124" Properties=species:S:1:pos:R:3 pbc="T T T"
Cd 0.000 0.000 2.562
Ag 0.000 2.572 0.000
Ag 2.572 0.000 0.000
Zn 0.000 0.000 0.000
K 2.572 2.572 2.562
```

Summary:
The total magnetization is 0.00 μB/f.u. The total energy comes out at -1.690 eV per atom. As for the density: 5.30 Mg/m³. The energy relative to the elements is 2.5 kcal/mol of atoms. Its space group is P4/mmm. The calculation puts the density of states at the Fermi level at 0.23 states/eV/atom.